# 1
Entry from Alexandria via LeMat-Bulk: a relaxed structure of Ag2Te2Cl (GGA-PBE).

Values from the calculation:
Formation energy from raw total energies, eV per atom: -0.165
Density, g/cm3: 5.57
Relative energy among the computed polymorphs, meV per atom: 0

Unit cell a=4.0913 b=4.7787 c=8.7842 alpha=85.38 beta=76.53 gamma=64.65
Last column: nearest neighbours and their distance in Å.
Fractional positions:
Ag1 0.6461 0.9377 0.7701  3 Te 2.79-2.82, 2 Cl 2.84
Cl1 0.0000 0.0000 0.0000  4 Ag 2.84
Te1 0.5996 0.4591 0.3417  1 Te 2.72, 3 Ag 2.79-2.82
Te2 0.4004 0.5409 0.6583  1 Te 2.72, 3 Ag 2.79-2.82
Ag2 0.3539 0.0623 0.2299  3 Te 2.79-2.82, 2 Cl 2.84


# 2
Entry from Alexandria via LeMat-Bulk: a relaxed structure of AlCdAu5 (GGA-PBE).

Values from the calculation:
ΔE_f, eV per atom: -0.217
Density, g/cm3: 14.21
Relative energy among the computed polymorphs, meV per atom: 0

Unit cell a=4.2969 b=4.2970 c=7.1144 alpha=90.00 beta=90.00 gamma=90.00
Last column: nearest neighbours and their distance in Å.
Fractional positions:
Au1 0.5000 0.0000 0.2096  2 Al 2.62
Au2 0.0000 0.5000 0.2096  2 Al 2.62
Cd1 0.0000 0.0000 0.5000  12 Au 2.98-3.04
Au3 0.5000 0.5000 0.5000  8 Au 2.98, 4 Cd 3.04
Au4 0.0000 0.5000 0.7904  2 Al 2.62
Au5 0.5000 0.0000 0.7904  2 Al 2.62
Al1 0.5000 0.5000 0.0000  8 Au 2.62


# 3
Entry from Alexandria via LeMat-Bulk: a relaxed structure of Na2TlSnI4 (GGA-PBE).

Values from the calculation:
Formation energy from raw total energies, eV per atom: -0.726
Density, g/cm3: 4.67

Unit cell a=6.8684 b=6.8684 c=8.2016 alpha=114.77 beta=114.75 gamma=90.01
Last column: nearest neighbours and their distance in Å.
Fractional positions:
I1 0.2371 0.2372 0.4743  3 Na 3.13-3.44, 2 Sn 3.44, 1 Tl 3.47
I2 0.7629 0.7628 0.5257  3 Na 3.13-3.44, 2 Sn 3.44, 1 Tl 3.47
Sn1 0.7500 0.2500 0.5000  6 I 3.31-3.44
Na1 0.0000 0.0000 0.0000  6 I 3.13-3.43
I3 0.0001 0.5001 0.0003  3 Na 3.30-3.43, 1 Sn 3.31, 2 Tl 3.43
I4 0.4999 0.9999 0.9997  3 Na 3.30-3.43, 1 Sn 3.31, 2 Tl 3.43
Tl1 0.5000 0.5000 0.0000  6 I 3.43-3.47
Na2 0.2500 0.7500 0.5000  6 I 3.30-3.44


# 4
Entry from Alexandria via LeMat-Bulk: a relaxed structure of ScPt2Rh (GGA-PBE).

Values from the calculation:
ΔE_f, eV per atom: -0.600
Density, g/cm3: 13.50

Unit cell a=3.4074 b=3.4074 c=5.7007 alpha=90.00 beta=90.00 gamma=90.00
Last column: nearest neighbours and their distance in Å.
Fractional positions:
Pt1 0.0000 0.0000 0.9986  2 Rh 2.71-2.99, 4 Sc 2.79, 4 Pt 2.88
Sc1 0.5000 0.5000 0.7526  6 Pt 2.73-2.97, 4 Rh 2.88
Rh1 0.0000 0.0000 0.4743  5 Pt 2.67-2.71, 4 Sc 2.88
Pt2 0.5000 0.5000 0.2744  4 Rh 2.67, 2 Sc 2.73-2.97, 4 Pt 2.88


# 5
Entry from Alexandria via LeMat-Bulk: a relaxed structure of AsOs2Au (GGA-PBE).

Values from the calculation:
ΔE_f, eV per atom: 0.790
Density, g/cm3: 16.92

Unit cell a=5.4756 b=5.4756 c=2.8204 alpha=75.59 beta=75.59 gamma=119.46
Last column: nearest neighbours and their distance in Å.
Fractional positions:
Os1 0.5000 0.5000 0.0000  2 As 2.75, 2 Au 2.75, 6 Os 2.76-2.82
As1 0.5000 0.0000 0.5000  4 Os 2.75, 4 Au 2.76-2.81, 2 As 2.82
Os2 0.0000 0.0000 0.0000  2 Au 2.75, 2 As 2.75, 6 Os 2.76-2.82
Au1 0.0000 0.5000 0.5000  4 Os 2.75, 4 As 2.76-2.81, 2 Au 2.82


# 6
Entry from Alexandria via LeMat-Bulk: a relaxed structure of CeSm2Si4 (GGA-PBE).

Values from the calculation:
Formation energy from raw total energies, eV per atom: -0.748
Density, g/cm3: 6.04

Unit cell a=3.9349 b=4.3621 c=9.3408 alpha=103.50 beta=102.16 gamma=90.00
Last column: nearest neighbours and their distance in Å.
Fractional positions:
Sm1 0.8178 0.8178 0.6356  7 Si 3.01-3.05
Sm2 0.1822 0.1822 0.3644  7 Si 3.01-3.05
Si1 0.6456 0.6456 0.2912  2 Si 2.43
Si2 0.0654 0.5654 0.1307  3 Si 2.32-2.43
Ce1 0.5000 0.0000 0.0000  12 Si 3.16-3.38
Si3 0.9346 0.4346 0.8693  3 Si 2.32-2.43
Si4 0.3544 0.3544 0.7088  2 Si 2.43


# 7
Entry from Alexandria via LeMat-Bulk: a relaxed structure of LuScZnPb (GGA-PBE).

Values from the calculation:
ΔE_f, eV per atom: -0.294
Density, g/cm3: 8.94

Unit cell a=5.0579 b=5.0579 c=5.0579 alpha=60.00 beta=60.00 gamma=60.00
Last column: nearest neighbours and their distance in Å.
Fractional positions:
Pb1 0.5000 0.5000 0.5000  4 Lu 3.10, 4 Sc 3.10
Sc1 0.2500 0.2500 0.2500  4 Pb 3.10, 4 Zn 3.10
Lu1 0.7500 0.7500 0.7500  4 Pb 3.10, 4 Zn 3.10
Zn1 0.0000 0.0000 0.0000  4 Sc 3.10, 4 Lu 3.10


# 8
Entry from Alexandria via LeMat-Bulk: a relaxed structure of NbNiP2 (GGA-PBE).

Values from the calculation:
ΔE_f, eV per atom: -0.216
Density, g/cm3: 6.43

Unit cell a=4.2735 b=4.2735 c=4.2735 alpha=60.00 beta=60.00 gamma=60.00
Last column: nearest neighbours and their distance in Å.
Fractional positions:
Ni1 0.0000 0.0000 0.0000  8 P 2.62
P1 0.7500 0.7500 0.7500  4 Nb 2.62, 4 Ni 2.62
Nb1 0.5000 0.5000 0.5000  8 P 2.62
P2 0.2500 0.2500 0.2500  4 Nb 2.62, 4 Ni 2.62


# 9
Entry from Alexandria via LeMat-Bulk: a relaxed structure of Li2PaBr6 (GGA-PBE).

Values from the calculation:
Formation energy from raw total energies, eV per atom: -1.470
Density, g/cm3: 4.34
Relative energy among the computed polymorphs, meV per atom: 4

Unit cell a=7.0239 b=7.0239 c=7.6534 alpha=62.69 beta=62.69 gamma=60.00
Last column: nearest neighbours and their distance in Å.
Fractional positions:
Li1 0.5122 0.5122 0.4634  6 Br 2.73-2.84
Br1 0.5851 0.9176 0.2590  2 Li 2.73-2.83, 1 Pa 2.83
Br2 0.4356 0.0995 0.7439  2 Li 2.77-2.84, 1 Pa 2.81
Br3 0.0995 0.7210 0.7439  2 Li 2.77-2.84, 1 Pa 2.81
Br4 0.7210 0.4356 0.7439  2 Li 2.77-2.84, 1 Pa 2.81
Br5 0.9176 0.2384 0.2590  2 Li 2.73-2.83, 1 Pa 2.83
Br6 0.2384 0.5851 0.2590  2 Li 2.73-2.83, 1 Pa 2.83
Pa1 0.3281 0.3281 0.0156  6 Br 2.81-2.83
Li2 0.8283 0.8283 0.5151  6 Br 2.77-2.83


# 10
Entry from Alexandria via LeMat-Bulk: a relaxed structure of CaSi (GGA-PBE).

Values from the calculation:
Formation energy from raw total energies, eV per atom: -0.282
Density, g/cm3: 1.97

Unit cell a=9.8824 b=9.8824 c=4.7154 alpha=90.00 beta=90.00 gamma=90.00
Last column: nearest neighbours and their distance in Å.
Fractional positions:
Ca1 0.5856 0.2346 0.5000  5 Si 3.00-3.09
Si1 0.5766 0.6555 0.0000  2 Si 2.42
Si2 0.4234 0.3445 0.0000  2 Si 2.42
Ca2 0.7346 0.9144 0.0000  5 Si 3.00-3.09
Si3 0.3445 0.5766 0.0000  2 Si 2.42
Si4 0.8445 0.0766 0.5000  2 Si 2.42
Ca3 0.7654 0.5856 0.5000  5 Si 3.00-3.09
Ca4 0.2654 0.0856 0.0000  5 Si 3.00-3.09
Ca5 0.9144 0.2654 0.0000  5 Si 3.00-3.09
Si5 0.9234 0.8445 0.5000  2 Si 2.42
Si6 0.1555 0.9234 0.5000  2 Si 2.42
Si7 0.0766 0.1555 0.5000  2 Si 2.42
Si8 0.6555 0.4234 0.0000  2 Si 2.42
Ca6 0.0856 0.7346 0.0000  5 Si 3.00-3.09
Ca7 0.4144 0.7654 0.5000  5 Si 3.00-3.09
Ca8 0.2346 0.4144 0.5000  5 Si 3.00-3.09


# 11
Entry from Alexandria via LeMat-Bulk: a relaxed structure of NiOsC2 (GGA-PBE).

Values from the calculation:
ΔE_f, eV per atom: 1.474
Density, g/cm3: 12.50
Relative energy among the computed polymorphs, meV per atom: 787

Unit cell a=3.7147 b=3.7147 c=3.7147 alpha=60.00 beta=60.00 gamma=60.00
Last column: nearest neighbours and their distance in Å.
Fractional positions:
Os1 0.5000 0.5000 0.5000  8 C 2.27
C1 0.2500 0.2500 0.2500  4 Os 2.27, 4 Ni 2.27
Ni1 0.0000 0.0000 0.0000  8 C 2.27
C2 0.7500 0.7500 0.7500  4 Ni 2.27, 4 Os 2.27


# 12
Entry from Alexandria via LeMat-Bulk: a relaxed structure of YMn2 (GGA-PBE).

Values from the calculation:
ΔE_f, eV per atom: 0.059
Density, g/cm3: 6.21

Unit cell a=3.8136 b=5.2432 c=5.6499 alpha=90.00 beta=109.72 gamma=90.00
Last column: nearest neighbours and their distance in Å.
Fractional positions:
Y1 0.2896 0.7500 0.5791  5 Mn 2.84-3.13
Mn1 0.5568 0.7500 0.1135  4 Mn 2.39
Mn2 0.4432 0.2500 0.8865  4 Mn 2.39
Mn3 0.0000 0.0000 0.0000  6 Mn 2.39-2.62
Y2 0.7104 0.2500 0.4209  5 Mn 2.84-3.13
Mn4 0.0000 0.5000 0.0000  6 Mn 2.39-2.62


# 13
Entry from Alexandria via LeMat-Bulk: a relaxed structure of MgTaBe3 (GGA-PBE).

Values from the calculation:
ΔE_f, eV per atom: 1.384
Density, g/cm3: 4.17
Relative energy among the computed polymorphs, meV per atom: 47

Unit cell a=4.5209 b=4.5209 c=4.5209 alpha=90.00 beta=90.00 gamma=90.00
Last column: nearest neighbours and their distance in Å.
Fractional positions:
Be1 0.5000 0.0000 0.0000  2 Ta 2.26
Be2 0.0000 0.0000 0.5000  2 Ta 2.26
Be3 0.0000 0.5000 0.0000  2 Ta 2.26
Mg1 0.5000 0.5000 0.5000  12 Be 3.20
Ta1 0.0000 0.0000 0.0000  6 Be 2.26


# 14
Entry from Alexandria via LeMat-Bulk: a relaxed structure of Tl2NiSb (GGA-PBE).

Values from the calculation:
Formation energy from raw total energies, eV per atom: 0.048
Density, g/cm3: 9.68
Relative energy among the computed polymorphs, meV per atom: 34

Unit cell a=3.4074 b=3.4658 c=8.7219 alpha=78.81 beta=90.00 gamma=90.00
Last column: nearest neighbours and their distance in Å.
Fractional positions:
Sb1 0.5000 0.7254 0.6695  4 Ni 2.61
Ni1 0.0000 0.2791 0.5595  4 Sb 2.61, 2 Tl 2.84
Tl1 0.0000 0.0769 0.9765  8 Tl 3.41-3.65, 1 Ni 3.57, 4 Sb 3.58
Tl2 0.5000 0.4187 0.2945  2 Ni 2.84


# 15
Entry from Alexandria via LeMat-Bulk: a relaxed structure of YU2PaAs4 (GGA-PBE).

Values from the calculation:
ΔE_f, eV per atom: -1.009
Density, g/cm3: 9.35

Unit cell a=4.0644 b=7.0411 c=7.1923 alpha=109.06 beta=90.00 gamma=90.00
Last column: nearest neighbours and their distance in Å.
Fractional positions:
Pa1 0.0000 0.0000 0.0000  6 As 2.89-2.90
U1 0.5000 0.0000 0.5000  6 As 2.89-2.90
Y1 0.5000 0.5000 0.0000  6 As 2.90
As1 0.0000 0.2486 0.7493  3 U 2.89-2.90, 1 Pa 2.89, 2 Y 2.90
U2 0.0000 0.5000 0.5000  6 As 2.90
As2 0.5000 0.2501 0.2496  1 Y 2.90, 2 Pa 2.90, 3 U 2.90
As3 0.0000 0.7514 0.2507  3 U 2.89-2.90, 1 Pa 2.89, 2 Y 2.90
As4 0.5000 0.7499 0.7504  1 Y 2.90, 2 Pa 2.90, 3 U 2.90


# 16
Entry from Alexandria via LeMat-Bulk: a relaxed structure of Sm2AlGe3Pt4 (GGA-PBE).

Values from the calculation:
ΔE_f, eV per atom: -0.989
Density, g/cm3: 11.55

Unit cell a=4.3184 b=4.3184 c=10.2179 alpha=90.00 beta=90.00 gamma=90.00
Last column: nearest neighbours and their distance in Å.
Fractional positions:
Pt1 0.0000 0.0000 0.0000  4 Ge 2.54
Sm1 0.0000 0.5000 0.7490  6 Ge 3.29-3.34, 8 Pt 3.29-3.35, 2 Al 3.34
Sm2 0.5000 0.0000 0.2510  6 Ge 3.29-3.34, 8 Pt 3.29-3.35, 2 Al 3.34
Pt2 0.5000 0.5000 0.0000  4 Ge 2.54
Ge1 0.0000 0.5000 0.1315  5 Pt 2.45-2.54
Pt3 0.5000 0.0000 0.6289  3 Ge 2.45-2.53, 2 Al 2.53
Al1 0.5000 0.5000 0.5000  4 Pt 2.53
Pt4 0.0000 0.5000 0.3711  3 Ge 2.45-2.53, 2 Al 2.53
Ge2 0.5000 0.0000 0.8685  5 Pt 2.45-2.54
Ge3 0.0000 0.0000 0.5000  4 Pt 2.53


# 17
Entry from Alexandria via LeMat-Bulk: a relaxed structure of PrTm3 (GGA-PBE).

Values from the calculation:
ΔE_f, eV per atom: 0.023
Density, g/cm3: 8.42
Relative energy among the computed polymorphs, meV per atom: 11

Unit cell a=3.6201 b=5.6435 c=6.2492 alpha=90.00 beta=90.00 gamma=90.00
Last column: nearest neighbours and their distance in Å.
Fractional positions:
Tm1 0.0000 0.0000 0.9969  10 Tm 3.51-3.64, 2 Pr 3.53
Tm2 0.5000 0.0000 0.5020  8 Tm 3.50-3.64, 4 Pr 3.51
Pr1 0.0000 0.5000 0.3354  10 Tm 3.51-3.63, 2 Pr 3.62
Tm3 0.5000 0.5000 0.8324  8 Tm 3.50-3.62, 4 Pr 3.59-3.63


# 18
Entry from Alexandria via LeMat-Bulk: a relaxed structure of CaCd6Hg (GGA-PBE).

Values from the calculation:
ΔE_f, eV per atom: 0.017
Density, g/cm3: 6.02
Relative energy among the computed polymorphs, meV per atom: 139

Unit cell a=6.0795 b=6.0795 c=8.6325 alpha=69.38 beta=69.38 gamma=60.00
Last column: nearest neighbours and their distance in Å.
Fractional positions:
Cd1 0.9313 0.4412 0.6962  5 Cd 2.98-3.10, 1 Hg 2.99
Cd2 0.0687 0.0687 0.3038  5 Cd 2.98-3.10, 1 Hg 2.99
Cd3 0.4412 0.9313 0.6962  5 Cd 2.98-3.10, 1 Hg 2.99
Ca1 0.5000 0.5000 0.5000  12 Cd 3.41
Hg1 0.0000 0.0000 0.0000  6 Cd 2.99
Cd4 0.5588 0.0687 0.3038  5 Cd 2.98-3.10, 1 Hg 2.99
Cd5 0.0687 0.5588 0.3038  5 Cd 2.98-3.10, 1 Hg 2.99
Cd6 0.9313 0.9313 0.6962  5 Cd 2.98-3.10, 1 Hg 2.99


# 19
Entry from Alexandria via LeMat-Bulk: a relaxed structure of ScFe2Ir (GGA-PBE).

Values from the calculation:
ΔE_f, eV per atom: 0.216
Density, g/cm3: 9.88

Unit cell a=8.8403 b=8.8403 c=8.8403 alpha=18.16 beta=18.16 gamma=18.16
Last column: nearest neighbours and their distance in Å.
Fractional positions:
Sc1 0.7500 0.7500 0.7500  6 Fe 2.79, 6 Sc 2.79
Ir1 0.2500 0.2500 0.2500  6 Fe 2.62, 6 Ir 2.79
Fe1 0.5039 0.5039 0.5039  3 Ir 2.62, 3 Sc 2.79, 6 Fe 2.79
Fe2 0.9961 0.9961 0.9961  3 Ir 2.62, 3 Sc 2.79, 6 Fe 2.79